[1]
## NaHfSc (PBE)

Data for a geometry-optimized NaHfSc structure.

abc: 9.8558 3.1741 5.0743
angles: 90.00 90.01 94.39
Atoms (fractional coordinates):
1 Na 0.6523 0.3776 0.5216
2 Na 0.8252 0.9899 0.0218
3 Hf 0.4349 0.6973 0.0211
4 Hf 0.3249 0.1631 0.5216
5 Sc 0.0472 0.5982 0.5217
6 Sc 0.1690 0.1339 0.0216

Computed properties:
Formation enthalpy at 0 K: 0.251 eV/atom
Polymorph energy (0 for the lowest one): 0.27 eV per formula unit
Magnetization: 0.000 μB/atom
SG: Pm


[2]
## Ba12SrAu6 (PBE)

Data for a geometry-optimized Ba12SrAu6 structure.

abc: 9.9832 9.9832 9.9832
angles: 104.88 104.88 104.88
Atoms (fractional coordinates):
1 Au 0.7494 0.7494 0.3186
2 Au 0.2506 0.6814 0.2506
3 Au 0.3186 0.7494 0.7494
4 Au 0.2506 0.2506 0.6814
5 Au 0.7494 0.3186 0.7494
6 Au 0.6814 0.2506 0.2506
7 Ba 0.8744 0.5000 0.1256
8 Ba 0.5558 0.8165 0.5558
9 Ba 0.8165 0.5558 0.5558
10 Ba 0.4442 0.1835 0.4442
11 Ba 0.5000 0.8744 0.1256
12 Ba 0.1256 0.8744 0.5000
13 Ba 0.4442 0.4442 0.1835
14 Ba 0.1835 0.4442 0.4442
15 Ba 0.5000 0.1256 0.8744
16 Ba 0.1256 0.5000 0.8744
17 Ba 0.5558 0.5558 0.8165
18 Ba 0.8744 0.1256 0.5000
19 Sr 0.0000 0.0000 0.0000

Computed properties:
Formation enthalpy at 0 K: -0.403 eV/atom
Polymorph energy (0 for the lowest one): 1.08 eV per formula unit
Magnetization: 0.017 μB/atom
SG: R-3m


[3]
## ReGe2BMo (PBE)

Data for a geometry-optimized ReGe2BMo structure.

abc: 4.8178 4.1205 4.8178
angles: 90.00 90.00 90.00
Atoms (fractional coordinates):
1 Ge 0.0000 0.0000 0.5000
2 Ge 0.5000 0.0000 0.0000
3 B 0.0000 0.5000 0.0000
4 Re 0.0000 0.0000 0.0000
5 Mo 0.5000 0.5000 0.5000

Computed properties:
Formation enthalpy at 0 K: 1.228 eV/atom
Magnetization: 0.830 μB/atom
SG: P4/mmm


Which energy belongs to each record? In order, -5.6165; -2.7407; -6.6107 eV per atom.
Which density belongs to each record? In order, 5.2; 5.6; 7.6 g/cm³.